(1)
{"formula": "CoNi3Ru", "functional": "meta-GGA SCAN", "state": "PBEsol geometry", "magnetic_moment_mub_per_fu": 4.97, "spacegroup": "Pm-3m (221)", "dos_at_fermi_per_ev_fu": 6.75, "e_form_mev_per_atom": 1616, "lattice_angstrom": [[-0.615, -3.999, 1.559], [-1.559, -1.259, -3.845], [3.999, -1.106, -1.259]], "species": ["Co", "Ni", "Ni", "Ni", "Ru"], "frac_coords": [[0.500, 0.500, 0.500], [0.500, 0.000, 0.000], [0.000, 0.000, 0.500], [0.000, 0.500, 0.000], [0.000, 0.000, 0.000]]}

(2)
{"formula": "MnCrF3", "functional": "meta-GGA SCAN", "state": "PBEsol geometry", "energy_ev_per_atom": -11.420, "magnetic_moment_mub_per_fu": 9.73, "spacegroup": "Pm-3m (221)", "dos_at_fermi_per_ev_fu": 1.57, "lattice_angstrom": [[-2.251, 3.216, -1.104], [-1.700, -2.211, -2.975], [-2.945, -1.182, 2.562]], "species": ["F", "F", "F", "Cr", "Mn"], "frac_coords": [[0.000, 0.000, 0.500], [0.000, 0.500, 0.000], [0.500, 0.000, 0.000], [0.000, 0.000, 0.000], [0.500, 0.500, 0.500]]}

(3)
{"formula": "Ce3GaBr3", "functional": "meta-GGA SCAN", "state": "PBEsol geometry", "energy_ev_per_atom": -31.169, "magnetic_moment_mub_per_fu": 3.37, "spacegroup": "Pm-3m (221)", "dos_at_fermi_per_ev_fu": 3.53, "lattice_angstrom": [[5.897, 0.000, 0.000], [0.000, 5.897, 0.000], [0.000, 0.000, 5.897]], "species": ["Ce", "Ce", "Ce", "Br", "Br", "Br", "Ga"], "frac_coords": [[0.500, 0.000, 0.500], [0.500, 0.500, 0.000], [0.000, 0.500, 0.500], [0.000, 0.000, 0.500], [0.000, 0.500, 0.000], [0.500, 0.000, 0.000], [0.500, 0.500, 0.500]]}

(4)
{"formula": "SrPtCl", "functional": "meta-GGA SCAN", "state": "PBEsol geometry", "magnetic_moment_mub_per_fu": 0.00, "spacegroup": "I4mm (107)", "dos_at_fermi_per_ev_fu": 0.80, "polymorph_energy_ev_per_atom": 0.0000, "lattice_angstrom": [[-0.948, -3.053, -0.933], [2.909, -0.425, -1.564], [1.421, -0.563, 6.339]], "species": ["Sr", "Cl", "Pt"], "frac_coords": [[0.659, 0.659, 0.317], [0.017, 0.017, 0.035], [0.324, 0.324, 0.648]]}

(5)
{"formula": "Ba2Nd2FeCo3O12", "functional": "meta-GGA SCAN", "state": "PBEsol geometry", "energy_ev_per_atom": -17.858, "magnetic_moment_mub_per_fu": 5.84, "spacegroup": "Amm2 (38)", "dos_at_fermi_per_ev_fu": 9.19, "lattice_angstrom": [[3.837, 0.000, 0.000], [0.000, 7.638, 0.000], [0.000, -3.819, 7.593]], "species": ["Co", "Co", "Co", "Ba", "Ba", "O", "O", "O", "O", "O", "O", "O", "O", "O", "O", "O", "O", "Nd", "Nd", "Fe"], "frac_coords": [[0.500, 0.874, 0.749], [0.500, 0.375, 0.749], [0.500, 0.625, 0.250], [0.000, 0.502, 0.502], [0.000, 0.000, 0.502], [0.500, 0.750, 0.500], [0.500, 0.138, 0.775], [0.500, 0.500, 0.001], [0.000, 0.888, 0.776], [0.500, 0.363, 0.229], [0.500, 0.637, 0.775], [0.000, 0.612, 0.224], [0.500, 0.000, 0.000], [0.000, 0.115, 0.229], [0.500, 0.248, 0.496], [0.500, 0.866, 0.229], [0.000, 0.387, 0.774], [0.000, 0.253, 0.997], [0.000, 0.744, 0.997], [0.500, 0.123, 0.246]]}

(6)
{"formula": "ThP2Ru2", "functional": "meta-GGA SCAN", "state": "PBEsol geometry", "magnetic_moment_mub_per_fu": 0.00, "spacegroup": "Pnma (62)", "e_form_mev_per_atom": -1125, "lattice_angstrom": [[4.112, 0.000, 0.000], [0.000, 7.494, 0.000], [0.000, 0.000, 10.407]], "species": ["P", "P", "P", "P", "P", "P", "P", "P", "Ru", "Ru", "Ru", "Ru", "Ru", "Ru", "Ru", "Ru", "Th", "Th", "Th", "Th"], "frac_coords": [[0.250, 0.530, 0.840], [0.750, 0.970, 0.340], [0.750, 0.470, 0.160], [0.750, 0.905, 0.970], [0.750, 0.405, 0.530], [0.250, 0.095, 0.030], [0.250, 0.595, 0.470], [0.250, 0.030, 0.660], [0.250, 0.390, 0.049], [0.250, 0.890, 0.451], [0.750, 0.610, 0.951], [0.750, 0.110, 0.549], [0.750, 0.133, 0.132], [0.750, 0.633, 0.368], [0.250, 0.367, 0.632], [0.250, 0.867, 0.868], [0.250, 0.267, 0.331], [0.250, 0.767, 0.169], [0.750, 0.733, 0.669], [0.750, 0.233, 0.831]]}

(7)
{"formula": "Cd3Rh", "functional": "meta-GGA SCAN", "state": "PBEsol geometry", "magnetic_moment_mub_per_fu": 0.00, "spacegroup": "Pm-3m (221)", "dos_at_fermi_per_ev_fu": 2.24, "e_form_mev_per_atom": -115, "lattice_angstrom": [[4.119, 0.000, 0.000], [0.000, 4.119, 0.000], [0.000, 0.000, 4.119]], "species": ["Cd", "Cd", "Cd", "Rh"], "frac_coords": [[0.000, 0.000, 0.500], [0.000, 0.500, 0.000], [0.500, 0.000, 0.000], [0.500, 0.500, 0.500]]}

(8)
{"formula": "Zr2TlIn", "functional": "meta-GGA SCAN", "state": "PBEsol geometry", "magnetic_moment_mub_per_fu": 0.00, "spacegroup": "R3m (160)", "dos_at_fermi_per_ev_fu": 4.58, "e_form_mev_per_atom": -8, "polymorph_energy_ev_per_atom": 0.3598, "lattice_angstrom": [[-0.141, -2.347, -2.279], [-1.873, -2.641, 0.484], [-8.454, 3.057, -4.976]], "species": ["Tl", "Zr", "Zr", "In"], "frac_coords": [[0.251, 0.251, 0.247], [0.003, 0.003, 0.992], [0.748, 0.748, 0.755], [0.498, 0.498, 0.506]]}